*a*
Below is an optimized crystal structure of LaBSbTe2, with properties calculated at the GGA-PBE level.

Symmetry ... P4/mmm (123)
Theoretical density ... 3.8 g cm⁻³
Total magnetic moment ... 0.68 μB/cell

a b c (Å): 6.125 6.125 6.172
angles (deg): 90.00 90.00 90.00
Fractional positions:
La 0.000 0.000 0.000
B 0.500 0.500 0.500
Sb 0.000 0.000 0.500
Te 0.000 0.500 0.000
Te 0.500 0.000 0.000


*b*
Below is an optimized crystal structure of LaBSbTe2, with properties calculated at the GGA-PBE level.

Symmetry ... P4/mmm (123)
Theoretical density ... 6.9 g cm⁻³
Total magnetic moment ... 0.00 μB/cell

a b c (Å): 5.102 5.102 4.872
angles (deg): 90.00 90.00 90.00
Fractional positions:
La 0.000 0.000 0.000
B 0.500 0.500 0.500
Sb 0.500 0.500 0.000
Te 0.000 0.500 0.500
Te 0.500 0.000 0.500


Out of the structures above, which one is the most stable? Solution: *b*.